Record 1
Below is a relaxed structure of La6Tb3Pm2Mg, with properties calculated at the GGA-PBE level.

Lattice parameters (Å, degrees): 6.3290 6.3290 11.9753 95.06 95.06 120.04
Last column: nearest neighbours and their distance in Å.
Positions (direct):
La: 0.0833 0.4141 0.7508  3 Tb 3.61-3.63, 1 Mg 3.62, 6 La 3.63-3.67, 2 Pm 3.63-3.64
La: 0.2476 0.2476 0.2489  3 Tb 3.61-3.62, 6 La 3.63-3.67, 1 Mg 3.63, 2 Pm 3.64
La: 0.4141 0.0833 0.7508  3 Tb 3.61-3.63, 1 Mg 3.62, 6 La 3.63-3.67, 2 Pm 3.63-3.64
La: 0.5859 0.9167 0.2492  3 Tb 3.61-3.63, 1 Mg 3.62, 6 La 3.63-3.67, 2 Pm 3.63-3.64
La: 0.7524 0.7524 0.7511  3 Tb 3.61-3.62, 6 La 3.63-3.67, 1 Mg 3.63, 2 Pm 3.64
La: 0.9167 0.5859 0.2492  3 Tb 3.61-3.63, 1 Mg 3.62, 6 La 3.63-3.67, 2 Pm 3.63-3.64
Tb: 0.1665 0.8335 0.0000  6 La 3.61-3.63, 6 Tb 3.65-3.66
Tb: 0.5000 0.5000 0.0000  6 La 3.61-3.62, 6 Tb 3.65-3.66
Tb: 0.8335 0.1665 0.0000  6 La 3.61-3.63, 6 Tb 3.65-3.66
Pm: 0.3330 0.6670 0.5000  6 La 3.63-3.64, 3 Pm 3.65-3.66, 3 Mg 3.65
Pm: 0.6670 0.3330 0.5000  6 La 3.63-3.64, 3 Pm 3.65-3.66, 3 Mg 3.65
Mg: 0.0000 0.0000 0.5000  6 La 3.62-3.63, 6 Pm 3.65

Values from the calculation:
The formation energy is 0.01 eV/atom. For the volume, the calculation gives 34.1 Å³ per atom. Its space group is C2/m (12). For the total magnetic moment, the calculation gives 0.00 μB/f.u. The calculation puts the density at 6.60 g/cm3.



Record 2
Below is a relaxed structure of SmHo3Tm2Bi6, with properties calculated at the GGA-PBE level.

Lattice parameters (Å, degrees): 9.9881 9.9881 8.9374 102.88 102.88 25.85
Last column: nearest neighbours and their distance in Å.
Positions (direct):
Sm: 0.0000 0.0000 0.0000  6 Bi 3.19-3.20
Ho: 0.0000 0.0000 0.5000  6 Bi 3.13-3.17
Ho: 0.3347 0.3347 0.1678  6 Bi 3.14-3.17
Ho: 0.6653 0.6653 0.8322  6 Bi 3.14-3.17
Tm: 0.3328 0.3328 0.6668  6 Bi 3.14-3.15
Tm: 0.6672 0.6672 0.3332  6 Bi 3.14-3.15
Bi: 0.1671 0.1671 0.5816  3 Tm 3.14-3.15, 3 Ho 3.17
Bi: 0.1688 0.1688 0.0855  3 Ho 3.14-3.17, 2 Tm 3.15, 1 Sm 3.20
Bi: 0.4988 0.4988 0.7447  3 Ho 3.13-3.16, 1 Tm 3.15, 2 Sm 3.19
Bi: 0.5012 0.5012 0.2553  3 Ho 3.13-3.16, 1 Tm 3.15, 2 Sm 3.19
Bi: 0.8312 0.8312 0.9145  3 Ho 3.14-3.17, 2 Tm 3.15, 1 Sm 3.20
Bi: 0.8329 0.8329 0.4184  3 Tm 3.14-3.15, 3 Ho 3.17

Values from the calculation:
The formation energy is -0.83 eV/atom. For the volume, the calculation gives 31.5 Å³ per atom. Its space group is C2/m (12). For the total magnetic moment, the calculation gives 0.00 μB/f.u. The calculation puts the density at 9.82 g/cm3.



Record 3
Below is a relaxed structure of TeAsS4, with properties calculated at the GGA-PBE level.

Lattice parameters (Å, degrees): 7.5690 7.5690 6.2905 114.17 114.17 27.71
Last column: nearest neighbours and their distance in Å.
Positions (direct):
Te: 0.0000 0.0000 0.0000  6 S 2.65
As: 0.5000 0.5000 0.5000  6 S 2.54-2.55
S: 0.1130 0.1130 0.4580  2 As 2.55, 1 Te 2.65
S: 0.3830 0.3830 0.0658  1 As 2.54, 2 Te 2.65
S: 0.6170 0.6170 0.9342  1 As 2.54, 2 Te 2.65
S: 0.8870 0.8870 0.5420  2 As 2.55, 1 Te 2.65

Values from the calculation:
For the volume, the calculation gives 25.3 Å³ per atom. Its space group is C2/m (12). For the total magnetic moment, the calculation gives 0.00 μB/f.u. As for the formation energy without anion corrections: 0.6 eV/f.u. The calculation puts the density at 3.61 g/cm3.



Record 4
Below is a relaxed structure of CoSbAu2, with properties calculated at the GGA-PBE level.

Lattice parameters (Å, degrees): 5.3083 5.3083 5.3083 136.22 136.22 63.64
Last column: nearest neighbours and their distance in Å.
Positions (direct):
Co: 0.0000 0.0000 0.0000  4 Sb 2.80, 8 Au 3.00
Sb: 0.5000 0.5000 0.0000  4 Co 2.80, 8 Au 3.00
Au: 0.2500 0.7500 0.5000  4 Au 2.80, 4 Sb 3.00, 4 Co 3.00
Au: 0.7500 0.2500 0.5000  4 Au 2.80, 4 Sb 3.00, 4 Co 3.00

Values from the calculation:
For the volume, the calculation gives 17.7 Å³ per atom. Its space group is I4/mmm (139). For the total magnetic moment, the calculation gives 0.75 μB/f.u. As for the formation energy without anion corrections: 1.0 eV/f.u. The calculation puts the density at 13.50 g/cm3.



Record 5
Below is a relaxed structure of AgPRu2, with properties calculated at the GGA-PBE level.

Lattice parameters (Å, degrees): 2.9011 2.9011 6.7984 90.00 90.00 90.00
Last column: nearest neighbours and their distance in Å.
Positions (direct):
Ag: 0.0000 0.0000 0.0000  4 Ag 2.90, 8 Ru 2.92
P: 0.0000 0.0000 0.5000  8 Ru 2.44
Ru: 0.5000 0.5000 0.3047  4 P 2.44, 1 Ru 2.66
Ru: 0.5000 0.5000 0.6953  4 P 2.44, 1 Ru 2.66

Values from the calculation:
The formation energy is -0.02 eV/atom. For the volume, the calculation gives 14.3 Å³ per atom. Its space group is P4/mmm (123). For the total magnetic moment, the calculation gives 0.00 μB/f.u. For the energy above the most stable polymorph in this dataset, the calculation gives 8.0 meV per atom. The calculation puts the density at 9.90 g/cm3.



Record 6
Below is a relaxed structure of In2OsAu, with properties calculated at the GGA-PBE level.

Lattice parameters (Å, degrees): 9.1879 9.1879 9.1879 19.57 19.57 19.57
Last column: nearest neighbours and their distance in Å.
Positions (direct):
In: 0.2456 0.2456 0.2456  3 Os 2.79, 3 Au 2.98, 6 In 3.12
In: 0.7544 0.7544 0.7544  3 Os 2.79, 3 Au 2.98, 6 In 3.12
Os: 0.5000 0.5000 0.5000  6 In 2.79, 6 Os 3.12
Au: 0.0000 0.0000 0.0000  6 In 2.98, 6 Au 3.12

Values from the calculation:
The formation energy is 0.35 eV/atom. For the volume, the calculation gives 19.0 Å³ per atom. Its space group is R-3m (166). For the total magnetic moment, the calculation gives 0.00 μB/f.u. The calculation puts the density at 13.46 g/cm3.



Record 7
Below is a relaxed structure of GaP2Pd, with properties calculated at the GGA-PBE level.

Lattice parameters (Å, degrees): 6.8208 6.8208 6.8208 134.01 134.01 67.07
Last column: nearest neighbours and their distance in Å.
Positions (direct):
Ga: 0.0000 0.0000 0.0000  4 P 2.40
Ga: 0.7500 0.2500 0.5000  4 P 2.40
P: 0.1369 0.6250 0.0119  2 Pd 2.32, 2 Ga 2.40
P: 0.3750 0.3869 0.5119  2 Pd 2.32, 2 Ga 2.40
P: 0.6131 0.1250 0.9881  2 Pd 2.32, 2 Ga 2.40
P: 0.8750 0.8631 0.4881  2 Pd 2.32, 2 Ga 2.40
Pd: 0.2500 0.7500 0.5000  4 P 2.32
Pd: 0.5000 0.5000 0.0000  4 P 2.32

Values from the calculation:
The formation energy is -0.15 eV/atom. For the volume, the calculation gives 20.2 Å³ per atom. Its space group is I-42d (122). For the total magnetic moment, the calculation gives 0.00 μB/f.u. For the energy above the most stable polymorph in this dataset, the calculation gives 0.0 meV per atom. The calculation puts the density at 4.90 g/cm3.



Record 8
Below is a relaxed structure of Y3MgCo, with properties calculated at the GGA-PBE level.

Lattice parameters (Å, degrees): 5.2294 5.2294 5.2294 90.00 90.00 90.00
Last column: nearest neighbours and their distance in Å.
Positions (direct):
Y: 0.0000 0.0000 0.5000  2 Co 2.61
Y: 0.0000 0.5000 0.0000  2 Co 2.61
Y: 0.5000 0.0000 0.0000  2 Co 2.61
Mg: 0.5000 0.5000 0.5000  12 Y 3.70
Co: 0.0000 0.0000 0.0000  6 Y 2.61

Values from the calculation:
The formation energy is -0.04 eV/atom. For the volume, the calculation gives 28.6 Å³ per atom. Its space group is Pm-3m (221). For the total magnetic moment, the calculation gives 0.00 μB/f.u. For the energy above the most stable polymorph in this dataset, the calculation gives 68.3 meV per atom. The calculation puts the density at 4.06 g/cm3.



Record 9
Below is a relaxed structure of Tb2NpTaN4, with properties calculated at the GGA-PBE level.

Lattice parameters (Å, degrees): 5.7917 3.3472 5.8559 90.00 108.72 90.00
Last column: nearest neighbours and their distance in Å.
Positions (direct):
Tb: 0.0000 0.0000 0.0000  6 N 2.50-2.51
Tb: 0.5000 0.5000 0.0000  6 N 2.43
Np: 0.0000 0.5000 0.5000  6 N 2.32-2.35
Ta: 0.5000 0.0000 0.5000  6 N 2.23-2.27
N: 0.2557 0.0000 0.7275  1 Ta 2.23, 2 Np 2.35, 3 Tb 2.43-2.50
N: 0.2689 0.5000 0.2805  2 Ta 2.27, 1 Np 2.32, 3 Tb 2.43-2.51
N: 0.7311 0.5000 0.7195  2 Ta 2.27, 1 Np 2.32, 3 Tb 2.43-2.51
N: 0.7443 0.0000 0.2725  1 Ta 2.23, 2 Np 2.35, 3 Tb 2.43-2.50

Values from the calculation:
For the volume, the calculation gives 13.4 Å³ per atom. Its space group is P2/m (10). For the total magnetic moment, the calculation gives 2.72 μB/f.u. As for the formation energy without anion corrections: -11.0 eV/f.u. The calculation puts the density at 12.23 g/cm3.



Record 10
Below is a relaxed structure of Li4NdNi2, with properties calculated at the GGA-PBE level.

Lattice parameters (Å, degrees): 8.2620 8.2620 4.0034 90.00 90.00 153.16
Last column: nearest neighbours and their distance in Å.
Positions (direct):
Li: 0.1742 0.8258 0.0000  2 Ni 2.59, 4 Li 2.77
Li: 0.3191 0.6809 0.5000  2 Ni 2.59, 4 Li 2.77
Li: 0.6809 0.3191 0.5000  2 Ni 2.59, 4 Li 2.77
Li: 0.8258 0.1742 0.0000  2 Ni 2.59, 4 Li 2.77
Nd: 0.5000 0.5000 0.0000  8 Ni 3.00
Ni: 0.0722 0.9278 0.5000  1 Ni 2.32, 4 Li 2.59
Ni: 0.9278 0.0722 0.5000  1 Ni 2.32, 4 Li 2.59

Values from the calculation:
The formation energy is -0.08 eV/atom. For the volume, the calculation gives 17.6 Å³ per atom. Its space group is Cmmm (65). For the total magnetic moment, the calculation gives 0.00 μB/f.u. The calculation puts the density at 3.89 g/cm3.



Record 11
Below is a relaxed structure of TbZrIrRu, with properties calculated at the GGA-PBE level.

Lattice parameters (Å, degrees): 4.7473 4.7473 4.7473 60.00 60.00 60.00
Last column: nearest neighbours and their distance in Å.
Positions (direct):
Tb: 0.0000 0.0000 0.0000  4 Ru 2.91, 4 Ir 2.91
Zr: 0.5000 0.5000 0.5000  4 Ru 2.91, 4 Ir 2.91
Ir: 0.2500 0.2500 0.2500  4 Zr 2.91, 4 Tb 2.91
Ru: 0.7500 0.7500 0.7500  4 Zr 2.91, 4 Tb 2.91

Values from the calculation:
The formation energy is -0.63 eV/atom. For the volume, the calculation gives 18.9 Å³ per atom. Its space group is F-43m (216). For the total magnetic moment, the calculation gives 0.00 μB/f.u. For the energy above the most stable polymorph in this dataset, the calculation gives 36.5 meV per atom. The calculation puts the density at 11.93 g/cm3.



Record 12
Below is a relaxed structure of Th4Tc2Sb, with properties calculated at the GGA-PBE level.

Lattice parameters (Å, degrees): 6.5733 6.5733 13.9397 90.00 90.00 139.46
Last column: nearest neighbours and their distance in Å.
Positions (direct):
Th: 0.0000 0.0000 0.0000  4 Tc 2.75
Th: 0.0000 0.0000 0.5000  4 Tc 2.75
Th: 0.2736 0.7264 0.6077  1 Tc 2.72
Th: 0.2736 0.7264 0.8923  1 Tc 2.72
Th: 0.4119 0.5881 0.2500  2 Tc 2.70
Th: 0.5881 0.4119 0.7500  2 Tc 2.70
Th: 0.7264 0.2736 0.1077  1 Tc 2.72
Th: 0.7264 0.2736 0.3923  1 Tc 2.72
Tc: 0.3931 0.6069 0.0568  4 Th 2.70-2.75
Tc: 0.3931 0.6069 0.4432  4 Th 2.70-2.75
Tc: 0.6069 0.3931 0.5568  4 Th 2.70-2.75
Tc: 0.6069 0.3931 0.9432  4 Th 2.70-2.75
Sb: 0.1102 0.8898 0.2500  9 Th 3.34-3.74
Sb: 0.8898 0.1102 0.7500  9 Th 3.34-3.74

Values from the calculation:
For the volume, the calculation gives 28.0 Å³ per atom. Its space group is Cmcm (63). For the total magnetic moment, the calculation gives 0.00 μB/f.u. As for the formation energy without anion corrections: -2.6 eV/f.u. For the energy above the most stable polymorph in this dataset, the calculation gives 0.0 meV per atom. The calculation puts the density at 10.57 g/cm3.



Record 13
Below is a relaxed structure of HfSiSbBr2, with properties calculated at the GGA-PBE level.

Lattice parameters (Å, degrees): 5.3734 5.3734 5.4546 90.00 90.00 90.00
Last column: nearest neighbours and their distance in Å.
Positions (direct):
Hf: 0.0000 0.0000 0.0000  4 Si 3.80, 8 Br 3.83
Si: 0.5000 0.5000 0.0000  2 Sb 2.73
Sb: 0.5000 0.5000 0.5000  4 Br 2.69, 2 Si 2.73
Br: 0.0000 0.5000 0.5000  2 Sb 2.69
Br: 0.5000 0.0000 0.5000  2 Sb 2.69

Values from the calculation:
For the volume, the calculation gives 31.5 Å³ per atom. Its space group is P4/mmm (123). For the total magnetic moment, the calculation gives 0.91 μB/f.u. As for the formation energy without anion corrections: 4.9 eV/f.u. The calculation puts the density at 5.15 g/cm3.